No. 1
PmCrSe2O8 | GGA+U | optimized geometry

Summary:
space-group type: P-3m1 (164)
calculated density: 4.3 g/cm³
spin magnetization: 3.141 Bohr magnetons per cell
final energy: -6.162 eV per atom

Lattice parameters (Å, degrees): 5.860 5.860 6.248 90.00 90.00 120.00
Atoms (fractional coordinates):
Se (0.667, 0.333, 0.148)
Se (0.333, 0.667, 0.852)
O (0.692, 0.846, 0.781)
O (0.846, 0.154, 0.219)
O (0.333, 0.667, 0.112)
O (0.667, 0.333, 0.888)
O (0.846, 0.692, 0.219)
O (0.154, 0.846, 0.781)
O (0.154, 0.308, 0.781)
O (0.308, 0.154, 0.219)
Cr (0.000, 0.000, 0.000)
Pm (0.000, 0.000, 0.500)



No. 2
Pm2CrSe2O2 | GGA+U | optimized geometry

Summary:
space-group type: C2/m (12)
calculated density: 6.5 g/cm³
spin magnetization: 4.000 Bohr magnetons per cell
final energy: -7.143 eV per atom

Lattice parameters (Å, degrees): 3.902 6.069 6.692 67.61 73.05 71.25
Atoms (fractional coordinates):
Se (0.438, 0.800, 0.325)
Se (0.562, 0.200, 0.675)
O (0.198, 0.686, 0.919)
O (0.802, 0.314, 0.081)
Pm (0.808, 0.638, 0.747)
Pm (0.192, 0.362, 0.253)
Cr (0.000, 0.000, 0.000)



No. 3
PmCrSeO2 | GGA+U | optimized geometry

Summary:
space-group type: Cmcm (63)
calculated density: 5.9 g/cm³
spin magnetization: 5.998 Bohr magnetons per cell
final energy: -7.120 eV per atom

Lattice parameters (Å, degrees): 5.328 5.373 6.588 114.07 90.00 90.00
Atoms (fractional coordinates):
Pm (0.250, 0.617, 0.233)
Pm (0.750, 0.383, 0.767)
O (0.000, 0.239, 0.000)
O (0.500, 0.239, 0.000)
O (0.500, 0.761, 0.000)
O (0.000, 0.761, 0.000)
Cr (0.250, 0.944, 0.888)
Cr (0.750, 0.056, 0.112)
Se (0.250, 0.244, 0.489)
Se (0.750, 0.756, 0.511)



No. 4
PmCrSiO5 | GGA+U | optimized geometry

Summary:
space-group type: C2/c (15)
calculated density: 5.3 g/cm³
spin magnetization: 6.000 Bohr magnetons per cell
final energy: -8.073 eV per atom

Lattice parameters (Å, degrees): 5.558 5.558 7.028 103.23 103.23 106.71
Atoms (fractional coordinates):
Pm (0.669, 0.331, 0.750)
Pm (0.331, 0.669, 0.250)
Cr (0.000, 0.000, 0.000)
Cr (0.000, 0.000, 0.500)
O (0.106, 0.680, 0.881)
O (0.916, 0.084, 0.750)
O (0.084, 0.916, 0.250)
O (0.680, 0.106, 0.381)
O (0.392, 0.256, 0.081)
O (0.608, 0.744, 0.919)
O (0.320, 0.894, 0.619)
O (0.894, 0.320, 0.119)
O (0.744, 0.608, 0.419)
O (0.256, 0.392, 0.581)
Si (0.681, 0.319, 0.250)
Si (0.319, 0.681, 0.750)



No. 5
PmCr2SiO6 | GGA+U | optimized geometry

Summary:
space-group type: P1 (1)
calculated density: 5.4 g/cm³
spin magnetization: 7.000 Bohr magnetons per cell
final energy: -7.858 eV per atom

Lattice parameters (Å, degrees): 5.197 5.155 5.789 63.88 60.74 60.63
Atoms (fractional coordinates):
O (0.568, 0.254, 0.211)
O (0.707, 0.140, 0.796)
O (0.370, 0.696, 0.774)
O (0.168, 0.359, 0.771)
O (0.213, 0.993, 0.214)
O (0.961, 0.585, 0.215)
Si (0.326, 0.325, 0.027)
Cr (0.529, 0.511, 0.423)
Cr (0.004, 0.009, 0.979)
Pm (0.816, 0.790, 0.604)



No. 6
PmCrSnO6 | GGA+U | optimized geometry

Summary:
space-group type: P-31c (163)
calculated density: 5.7 g/cm³
spin magnetization: 1.994 Bohr magnetons per cell
final energy: -7.046 eV per atom

Lattice parameters (Å, degrees): 5.254 5.254 10.070 90.00 90.00 120.00
Atoms (fractional coordinates):
O (0.976, 0.352, 0.642)
O (0.352, 0.976, 0.142)
O (0.624, 0.648, 0.142)
O (0.624, 0.976, 0.358)
O (0.976, 0.624, 0.858)
O (0.648, 0.024, 0.858)
O (0.352, 0.376, 0.358)
O (0.376, 0.352, 0.858)
O (0.024, 0.376, 0.142)
O (0.376, 0.024, 0.642)
O (0.648, 0.624, 0.642)
O (0.024, 0.648, 0.358)
Pm (0.000, 0.000, 0.000)
Pm (0.000, 0.000, 0.500)
Cr (0.667, 0.333, 0.750)
Cr (0.333, 0.667, 0.250)
Sn (0.333, 0.667, 0.750)
Sn (0.667, 0.333, 0.250)



No. 7
SrPmCrO4 | GGA+U | optimized geometry

Summary:
space-group type: I4mm (107)
calculated density: 6.2 g/cm³
spin magnetization: 3.000 Bohr magnetons per cell
final energy: -7.559 eV per atom

Lattice parameters (Å, degrees): 3.897 3.897 6.752 106.77 106.77 90.00
Atoms (fractional coordinates):
Sr (0.644, 0.644, 0.289)
Pm (0.362, 0.362, 0.723)
Cr (0.003, 0.003, 0.006)
O (0.837, 0.837, 0.673)
O (0.990, 0.490, 0.981)
O (0.173, 0.173, 0.347)
O (0.490, 0.990, 0.981)



No. 8
PmTa2CrO8 | GGA+U | optimized geometry

Summary:
space-group type: C2/m (12)
calculated density: 7.4 g/cm³
spin magnetization: 2.997 Bohr magnetons per cell
final energy: -9.036 eV per atom

Lattice parameters (Å, degrees): 4.889 4.890 6.448 89.19 89.19 86.96
Atoms (fractional coordinates):
O (0.218, 0.796, 0.781)
O (0.782, 0.204, 0.219)
O (0.205, 0.782, 0.219)
O (0.326, 0.327, 0.510)
O (0.795, 0.218, 0.781)
O (0.674, 0.673, 0.490)
O (0.306, 0.307, 0.999)
O (0.694, 0.693, 0.001)
Ta (0.523, 0.523, 0.240)
Ta (0.477, 0.477, 0.760)
Pm (0.000, 0.000, 0.500)
Cr (0.000, 0.000, 0.000)



No. 9
PmTaCr2O8 | GGA+U | optimized geometry

Summary:
space-group type: C2/m (12)
calculated density: 6.3 g/cm³
spin magnetization: 3.990 Bohr magnetons per cell
final energy: -8.168 eV per atom

Lattice parameters (Å, degrees): 4.771 4.769 6.431 91.09 91.09 88.10
Atoms (fractional coordinates):
Cr (0.499, 0.499, 0.754)
Cr (0.501, 0.501, 0.246)
O (0.208, 0.790, 0.217)
O (0.334, 0.333, 0.513)
O (0.693, 0.693, 0.993)
O (0.209, 0.791, 0.783)
O (0.307, 0.307, 0.007)
O (0.666, 0.667, 0.487)
O (0.791, 0.209, 0.217)
O (0.792, 0.210, 0.783)
Pm (0.000, 0.000, 0.500)
Ta (0.000, 0.000, 0.000)



No. 10
TbPmCr2O8 | GGA+U | optimized geometry

Summary:
space-group type: I-4m2 (119)
calculated density: 5.2 g/cm³
spin magnetization: 2.000 Bohr magnetons per cell
final energy: -7.652 eV per atom

Lattice parameters (Å, degrees): 6.072 6.072 6.072 105.91 105.91 116.85
Atoms (fractional coordinates):
O (0.326, 0.145, 0.820)
O (0.920, 0.235, 0.316)
O (0.855, 0.674, 0.180)
O (0.765, 0.080, 0.684)
O (0.920, 0.604, 0.684)
O (0.326, 0.506, 0.180)
O (0.396, 0.080, 0.316)
O (0.494, 0.674, 0.820)
Pm (0.250, 0.750, 0.500)
Cr (0.500, 0.500, 0.000)
Cr (0.750, 0.250, 0.500)
Tb (0.000, 0.000, 0.000)



No. 11
Pm2CrTcO8 | GGA+U | optimized geometry

Summary:
space-group type: P-1 (2)
calculated density: 5.6 g/cm³
spin magnetization: 3.002 Bohr magnetons per cell
final energy: -7.828 eV per atom

Lattice parameters (Å, degrees): 5.405 5.710 5.974 77.45 102.68 109.81
Atoms (fractional coordinates):
Pm (0.414, 0.662, 0.210)
Pm (0.586, 0.338, 0.790)
O (0.777, 0.080, 0.174)
O (0.223, 0.920, 0.826)
O (0.752, 0.679, 0.521)
O (0.763, 0.670, 0.013)
O (0.248, 0.321, 0.479)
O (0.237, 0.330, 0.987)
O (0.186, 0.903, 0.308)
O (0.814, 0.097, 0.692)
Tc (0.000, 0.000, 0.000)
Cr (0.000, 0.000, 0.500)



No. 12
PmCr2TcO6 | GGA+U | optimized geometry

Summary:
space-group type: P1 (1)
calculated density: 6.2 g/cm³
spin magnetization: 8.121 Bohr magnetons per cell
final energy: -7.959 eV per atom

Lattice parameters (Å, degrees): 5.372 5.384 5.634 61.62 61.28 59.99
Atoms (fractional coordinates):
Tc (0.315, 0.320, 0.045)
O (0.727, 0.173, 0.749)
O (0.902, 0.625, 0.230)
O (0.628, 0.240, 0.234)
O (0.171, 0.353, 0.747)
O (0.247, 0.896, 0.229)
O (0.351, 0.731, 0.744)
Cr (0.010, 0.011, 0.971)
Cr (0.522, 0.522, 0.434)
Pm (0.788, 0.791, 0.633)



> final energy of number 1 (PmCrSe2O8)?

-6.162 eV per atom



> Which of these has the lowest final energy?

PmTa2CrO8



Copy entry 11 word for word.
Pm2CrTcO8 | GGA+U | optimized geometry

Summary:
space-group type: P-1 (2)
calculated density: 5.6 g/cm³
spin magnetization: 3.002 Bohr magnetons per cell
final energy: -7.828 eV per atom

Lattice parameters (Å, degrees): 5.405 5.710 5.974 77.45 102.68 109.81
Atoms (fractional coordinates):
Pm (0.414, 0.662, 0.210)
Pm (0.586, 0.338, 0.790)
O (0.777, 0.080, 0.174)
O (0.223, 0.920, 0.826)
O (0.752, 0.679, 0.521)
O (0.763, 0.670, 0.013)
O (0.248, 0.321, 0.479)
O (0.237, 0.330, 0.987)
O (0.186, 0.903, 0.308)
O (0.814, 0.097, 0.692)
Tc (0.000, 0.000, 0.000)
Cr (0.000, 0.000, 0.500)



> The lowest final energy belongs to which entry?

PmTa2CrO8